VASP calculation (GGA-PBE) on a relaxed Ac4PS2N crystal.

a = 7.338 Å, b = 4.221 Å, c = 7.455 Å
α = 90.00°, β = 108.98°, γ = 90.00°
Element x y z (fractional)
Ac 0.226 0.000 0.222
Ac 0.238 0.500 0.768
Ac 0.762 0.500 0.232
Ac 0.774 0.000 0.778
P 0.500 0.000 0.000
S 0.000 0.000 0.500
S 0.500 0.500 0.500
N 0.000 0.500 0.000

Summary:
For the formation energy from raw total energies, the calculation gives -1.6326 eV/atom. The value obtained for the total energy is -6.436 eV per atom. For the total magnetization, the calculation gives 0.00 μB/cell.